A:
Material: Al2GaGe
Method: DFT, SCAN
State: PBEsol geometry

space group = No. 225
density of states at the Fermi level = 1.48 states/eV per cell
density = 4.733 Mg/m³
V = 68.9 Å³/cell

Geometry as CIF:
```
data_Al2GaGe
_chemical_formula_sum 'Al2 Ga1 Ge1'
_cell_length_a 4.601
_cell_length_b 4.601
_cell_length_c 4.601
_cell_angle_alpha 60.00
_cell_angle_beta 60.00
_cell_angle_gamma 60.00
_symmetry_space_group_name_H-M 'P 1'
_symmetry_Int_Tables_number 1
loop_
_symmetry_equiv_pos_as_xyz
'x,y,z'
loop_
_atom_site_label
_atom_site_fract_x
_atom_site_fract_y
_atom_site_fract_z
_atom_site_occupancy
Al1 0.250 0.250 0.250 1
Al2 0.750 0.750 0.750 1
Ga1 0.000 0.000 0.000 1
Ge1 0.500 0.500 0.500 1
```

---

B:
Material: Al2GaGe
Method: DFT, SCAN
State: PBEsol geometry

space group = No. 122
density of states at the Fermi level = 4.12 states/eV per cell
density = 4.466 Mg/m³
V = 146.0 Å³/cell

Geometry as CIF:
```
data_Al2GaGe
_chemical_formula_sum 'Al4 Ga2 Ge2'
_cell_length_a 5.837
_cell_length_b 5.837
_cell_length_c 5.837
_cell_angle_alpha 102.91
_cell_angle_beta 102.91
_cell_angle_gamma 123.59
_symmetry_space_group_name_H-M 'P 1'
_symmetry_Int_Tables_number 1
loop_
_symmetry_equiv_pos_as_xyz
'x,y,z'
loop_
_atom_site_label
_atom_site_fract_x
_atom_site_fract_y
_atom_site_fract_z
_atom_site_occupancy
Al1 0.107 0.625 0.982 1
Al2 0.375 0.357 0.482 1
Al3 0.643 0.125 0.018 1
Al4 0.875 0.893 0.518 1
Ga1 0.250 0.750 0.500 1
Ga2 0.500 0.500 0.000 1
Ge1 0.000 0.000 0.000 1
Ge2 0.750 0.250 0.500 1
```

---

How far above the most stable structure does each one sit? In kJ/mol of atoms: A 0.0; B 7.4.

---

A:
Material: Al2Ga2Hg
Method: DFT, SCAN
State: PBEsol geometry

space group = No. 139
density of states at the Fermi level = 1.27 states/eV per cell
density = 6.761 Mg/m³
V = 96.8 Å³/cell

Geometry as CIF:
```
data_Al2Ga2Hg
_chemical_formula_sum 'Al2 Ga2 Hg1'
_cell_length_a 6.363
_cell_length_b 6.363
_cell_length_c 6.363
_cell_angle_alpha 142.04
_cell_angle_beta 142.04
_cell_angle_gamma 54.76
_symmetry_space_group_name_H-M 'P 1'
_symmetry_Int_Tables_number 1
loop_
_symmetry_equiv_pos_as_xyz
'x,y,z'
loop_
_atom_site_label
_atom_site_fract_x
_atom_site_fract_y
_atom_site_fract_z
_atom_site_occupancy
Al1 0.250 0.750 0.500 1
Al2 0.750 0.250 0.500 1
Ga1 0.107 0.107 0.000 1
Ga2 0.893 0.893 0.000 1
Hg1 0.500 0.500 0.000 1
```

---

B:
Material: Al2Ga2Hg
Method: DFT, SCAN
State: PBEsol geometry

space group = No. 127
density of states at the Fermi level = 2.83 states/eV per cell
density = 7.021 Mg/m³
V = 186.4 Å³/cell

Geometry as CIF:
```
data_Al2Ga2Hg
_chemical_formula_sum 'Al4 Ga4 Hg2'
_cell_length_a 8.204
_cell_length_b 8.204
_cell_length_c 2.769
_cell_angle_alpha 90.00
_cell_angle_beta 90.00
_cell_angle_gamma 90.00
_symmetry_space_group_name_H-M 'P 1'
_symmetry_Int_Tables_number 1
loop_
_symmetry_equiv_pos_as_xyz
'x,y,z'
loop_
_atom_site_label
_atom_site_fract_x
_atom_site_fract_y
_atom_site_fract_z
_atom_site_occupancy
Al1 0.140 0.360 0.000 1
Al2 0.360 0.860 0.000 1
Al3 0.640 0.140 0.000 1
Al4 0.860 0.640 0.000 1
Ga1 0.157 0.657 0.500 1
Ga2 0.343 0.157 0.500 1
Ga3 0.657 0.843 0.500 1
Ga4 0.843 0.343 0.500 1
Hg1 0.000 0.000 0.500 1
Hg2 0.500 0.500 0.500 1
```

---

How far above the most stable structure does each one sit? In kJ/mol of atoms: A 1.1; B 0.0.

---

A:
Material: Nd2Al3Ga
Method: DFT, SCAN
State: PBEsol geometry

space group = No. 25
density of states at the Fermi level = 2.35 states/eV per cell
density = 5.561 Mg/m³
V = 131.1 Å³/cell

Geometry as CIF:
```
data_Nd2Al3Ga
_chemical_formula_sum 'Nd2 Al3 Ga1'
_cell_length_a 3.715
_cell_length_b 4.516
_cell_length_c 7.816
_cell_angle_alpha 90.00
_cell_angle_beta 90.00
_cell_angle_gamma 90.00
_symmetry_space_group_name_H-M 'P 1'
_symmetry_Int_Tables_number 1
loop_
_symmetry_equiv_pos_as_xyz
'x,y,z'
loop_
_atom_site_label
_atom_site_fract_x
_atom_site_fract_y
_atom_site_fract_z
_atom_site_occupancy
Nd1 0.000 0.000 0.000 1
Nd2 0.000 0.500 0.495 1
Al1 0.500 0.000 0.662 1
Al2 0.500 0.500 0.166 1
Al3 0.500 0.500 0.830 1
Ga1 0.500 0.000 0.332 1
```

---

B:
Material: Nd2Al3Ga
Method: DFT, SCAN
State: PBEsol geometry

space group = No. 166
density of states at the Fermi level = 4.05 states/eV per cell
density = 5.864 Mg/m³
V = 124.4 Å³/cell

Geometry as CIF:
```
data_Nd2Al3Ga
_chemical_formula_sum 'Nd2 Al3 Ga1'
_cell_length_a 5.619
_cell_length_b 5.619
_cell_length_c 5.619
_cell_angle_alpha 59.62
_cell_angle_beta 59.62
_cell_angle_gamma 59.62
_symmetry_space_group_name_H-M 'P 1'
_symmetry_Int_Tables_number 1
loop_
_symmetry_equiv_pos_as_xyz
'x,y,z'
loop_
_atom_site_label
_atom_site_fract_x
_atom_site_fract_y
_atom_site_fract_z
_atom_site_occupancy
Nd1 0.124 0.124 0.124 1
Nd2 0.876 0.876 0.876 1
Al1 0.000 0.500 0.500 1
Al2 0.500 0.000 0.500 1
Al3 0.500 0.500 0.000 1
Ga1 0.500 0.500 0.500 1
```

---

How far above the most stable structure does each one sit? In kJ/mol of atoms: A 0.0; B 0.5.

---

A:
Material: Al2Ga2Sn
Method: DFT, SCAN
State: PBEsol geometry

space group = No. 127
density of states at the Fermi level = 4.16 states/eV per cell
density = 5.492 Mg/m³
V = 188.8 Å³/cell

Geometry as CIF:
```
data_Al2Ga2Sn
_chemical_formula_sum 'Al4 Ga4 Sn2'
_cell_length_a 8.050
_cell_length_b 8.050
_cell_length_c 2.913
_cell_angle_alpha 90.00
_cell_angle_beta 90.00
_cell_angle_gamma 90.00
_symmetry_space_group_name_H-M 'P 1'
_symmetry_Int_Tables_number 1
loop_
_symmetry_equiv_pos_as_xyz
'x,y,z'
loop_
_atom_site_label
_atom_site_fract_x
_atom_site_fract_y
_atom_site_fract_z
_atom_site_occupancy
Al1 0.135 0.365 0.000 1
Al2 0.365 0.865 0.000 1
Al3 0.635 0.135 0.000 1
Al4 0.865 0.635 0.000 1
Ga1 0.160 0.660 0.500 1
Ga2 0.340 0.160 0.500 1
Ga3 0.660 0.840 0.500 1
Ga4 0.840 0.340 0.500 1
Sn1 0.000 0.000 0.500 1
Sn2 0.500 0.500 0.500 1
```

---

B:
Material: Al2Ga2Sn
Method: DFT, SCAN
State: PBEsol geometry

space group = No. 139
density of states at the Fermi level = 1.58 states/eV per cell
density = 5.305 Mg/m³
V = 97.7 Å³/cell

Geometry as CIF:
```
data_Al2Ga2Sn
_chemical_formula_sum 'Al2 Ga2 Sn1'
_cell_length_a 6.279
_cell_length_b 6.279
_cell_length_c 6.279
_cell_angle_alpha 140.90
_cell_angle_beta 140.90
_cell_angle_gamma 56.49
_symmetry_space_group_name_H-M 'P 1'
_symmetry_Int_Tables_number 1
loop_
_symmetry_equiv_pos_as_xyz
'x,y,z'
loop_
_atom_site_label
_atom_site_fract_x
_atom_site_fract_y
_atom_site_fract_z
_atom_site_occupancy
Al1 0.250 0.750 0.500 1
Al2 0.750 0.250 0.500 1
Ga1 0.110 0.110 0.000 1
Ga2 0.890 0.890 0.000 1
Sn1 0.500 0.500 0.000 1
```

---

How far above the most stable structure does each one sit? In kJ/mol of atoms: A 0.0; B 0.5.

---

A:
Material: Al2GaSn
Method: DFT, SCAN
State: PBEsol geometry

space group = No. 225
density of states at the Fermi level = 1.66 states/eV per cell
density = 5.116 Mg/m³
V = 78.7 Å³/cell

Geometry as CIF:
```
data_Al2GaSn
_chemical_formula_sum 'Al2 Ga1 Sn1'
_cell_length_a 4.810
_cell_length_b 4.810
_cell_length_c 4.810
_cell_angle_alpha 60.00
_cell_angle_beta 60.00
_cell_angle_gamma 60.00
_symmetry_space_group_name_H-M 'P 1'
_symmetry_Int_Tables_number 1
loop_
_symmetry_equiv_pos_as_xyz
'x,y,z'
loop_
_atom_site_label
_atom_site_fract_x
_atom_site_fract_y
_atom_site_fract_z
_atom_site_occupancy
Al1 0.250 0.250 0.250 1
Al2 0.750 0.750 0.750 1
Ga1 0.000 0.000 0.000 1
Sn1 0.500 0.500 0.500 1
```

---

B:
Material: Al2GaSn
Method: DFT, SCAN
State: PBEsol geometry

space group = No. 122
density of states at the Fermi level = 4.70 states/eV per cell
density = 4.959 Mg/m³
V = 162.3 Å³/cell

Geometry as CIF:
```
data_Al2GaSn
_chemical_formula_sum 'Al4 Ga2 Sn2'
_cell_length_a 6.048
_cell_length_b 6.048
_cell_length_c 6.048
_cell_angle_alpha 102.88
_cell_angle_beta 102.88
_cell_angle_gamma 123.66
_symmetry_space_group_name_H-M 'P 1'
_symmetry_Int_Tables_number 1
loop_
_symmetry_equiv_pos_as_xyz
'x,y,z'
loop_
_atom_site_label
_atom_site_fract_x
_atom_site_fract_y
_atom_site_fract_z
_atom_site_occupancy
Al1 0.100 0.125 0.475 1
Al2 0.375 0.900 0.025 1
Al3 0.650 0.625 0.525 1
Al4 0.875 0.350 0.975 1
Ga1 0.000 0.000 0.000 1
Ga2 0.750 0.250 0.500 1
Sn1 0.250 0.750 0.500 1
Sn2 0.500 0.500 0.000 1
```

---

How far above the most stable structure does each one sit? In kJ/mol of atoms: A 0.0; B 2.5.